# Mn2ReRh | Alexandria | PBE | optimized geometry
data_Mn2ReRh
_cell_length_a 4.2520
_cell_length_b 4.2520
_cell_length_c 4.2520
_cell_angle_alpha 60.00
_cell_angle_beta 60.00
_cell_angle_gamma 60.00
_symmetry_space_group_name_H-M 'P 1'
_symmetry_Int_Tables_number 1
_symmetry_space_group_name_Hall 'P 1'
loop_
_atom_site_label
_atom_site_fract_x
_atom_site_fract_y
_atom_site_fract_z
_atom_site_occupancy
Mn1 0.0000 0.0000 0.0000 1
Mn2 0.2500 0.2500 0.2500 1
Re1 0.7500 0.7500 0.7500 1
Rh1 0.5000 0.5000 0.5000 1
# **Space-group type**: F-43m, No. 216
# **Crystal system**: cubic
# **Formation enthalpy at 0 K**: 0.1759 eV/atom

# MnReRh | Alexandria | PBE | optimized geometry
data_MnReRh
_cell_length_a 2.7011
_cell_length_b 2.7011
_cell_length_c 6.5542
_cell_angle_alpha 90.00
_cell_angle_beta 90.00
_cell_angle_gamma 120.00
_symmetry_space_group_name_H-M 'P 1'
_symmetry_Int_Tables_number 1
_symmetry_space_group_name_Hall 'P 1'
loop_
_atom_site_label
_atom_site_fract_x
_atom_site_fract_y
_atom_site_fract_z
_atom_site_occupancy
Mn1 0.0000 0.0000 0.0000 1
Re1 0.6667 0.3333 0.3266 1
Rh1 0.3333 0.6667 0.6763 1
# **Space-group type**: P3m1, No. 156
# **Crystal system**: trigonal
# **Formation enthalpy at 0 K**: 0.0590 eV/atom

# MnReRh | Alexandria | PBE | optimized geometry
data_MnReRh
_cell_length_a 4.0122
_cell_length_b 4.0122
_cell_length_c 4.0122
_cell_angle_alpha 60.00
_cell_angle_beta 60.00
_cell_angle_gamma 60.00
_symmetry_space_group_name_H-M 'P 1'
_symmetry_Int_Tables_number 1
_symmetry_space_group_name_Hall 'P 1'
loop_
_atom_site_label
_atom_site_fract_x
_atom_site_fract_y
_atom_site_fract_z
_atom_site_occupancy
Mn1 0.0000 0.0000 0.0000 1
Re1 0.2500 0.2500 0.2500 1
Rh1 0.7500 0.7500 0.7500 1
# **Space-group type**: F-43m, No. 216
# **Crystal system**: cubic
# **Formation enthalpy at 0 K**: 0.5124 eV/atom

# Mn4ReRh | Alexandria | PBE | optimized geometry
data_Mn4ReRh
_cell_length_a 4.6731
_cell_length_b 4.6731
_cell_length_c 4.6731
_cell_angle_alpha 60.00
_cell_angle_beta 60.00
_cell_angle_gamma 60.00
_symmetry_space_group_name_H-M 'P 1'
_symmetry_Int_Tables_number 1
_symmetry_space_group_name_Hall 'P 1'
loop_
_atom_site_label
_atom_site_fract_x
_atom_site_fract_y
_atom_site_fract_z
_atom_site_occupancy
Mn1 0.3766 0.3766 0.3766 1
Mn2 0.3766 0.3766 0.8702 1
Mn3 0.3766 0.8702 0.3766 1
Mn4 0.8702 0.3766 0.3766 1
Re1 0.0000 0.0000 0.0000 1
Rh1 0.7500 0.7500 0.7500 1
# **Space-group type**: F-43m, No. 216
# **Crystal system**: cubic
# **Formation enthalpy at 0 K**: -0.0142 eV/atom

# Mn2ReRh | Alexandria | PBE | optimized geometry
data_Mn2ReRh
_cell_length_a 2.6706
_cell_length_b 2.6706
_cell_length_c 8.1350
_cell_angle_alpha 90.00
_cell_angle_beta 90.00
_cell_angle_gamma 108.16
_symmetry_space_group_name_H-M 'P 1'
_symmetry_Int_Tables_number 1
_symmetry_space_group_name_Hall 'P 1'
loop_
_atom_site_label
_atom_site_fract_x
_atom_site_fract_y
_atom_site_fract_z
_atom_site_occupancy
Mn1 0.0000 0.0000 0.2493 1
Mn2 0.0000 0.0000 0.7507 1
Re1 0.5000 0.5000 0.0000 1
Rh1 0.5000 0.5000 0.5000 1
# **Space-group type**: Cmmm, No. 65
# **Crystal system**: orthorhombic
# **Formation enthalpy at 0 K**: 0.1233 eV/atom

# Mn2ReRh2 | Alexandria | PBE | optimized geometry
data_Mn2ReRh2
_cell_length_a 7.0886
_cell_length_b 7.0886
_cell_length_c 2.6472
_cell_angle_alpha 90.00
_cell_angle_beta 90.00
_cell_angle_gamma 90.00
_symmetry_space_group_name_H-M 'P 1'
_symmetry_Int_Tables_number 1
_symmetry_space_group_name_Hall 'P 1'
loop_
_atom_site_label
_atom_site_fract_x
_atom_site_fract_y
_atom_site_fract_z
_atom_site_occupancy
Mn1 0.1717 0.3283 0.0000 1
Mn2 0.3283 0.8283 0.0000 1
Mn3 0.6717 0.1717 0.0000 1
Mn4 0.8283 0.6717 0.0000 1
Re1 0.0000 0.0000 0.5000 1
Re2 0.5000 0.5000 0.5000 1
Rh1 0.1271 0.6271 0.5000 1
Rh2 0.3729 0.1271 0.5000 1
Rh3 0.6271 0.8729 0.5000 1
Rh4 0.8729 0.3729 0.5000 1
# **Space-group type**: P4/mbm, No. 127
# **Crystal system**: tetragonal
# **Formation enthalpy at 0 K**: 0.2382 eV/atom

# Mn2ReRh2 | Alexandria | PBE | optimized geometry
data_Mn2ReRh2
_cell_length_a 5.7949
_cell_length_b 5.7949
_cell_length_c 5.7949
_cell_angle_alpha 143.18
_cell_angle_beta 143.18
_cell_angle_gamma 53.05
_symmetry_space_group_name_H-M 'P 1'
_symmetry_Int_Tables_number 1
_symmetry_space_group_name_Hall 'P 1'
loop_
_atom_site_label
_atom_site_fract_x
_atom_site_fract_y
_atom_site_fract_z
_atom_site_occupancy
Mn1 0.0942 0.0942 0.0000 1
Mn2 0.9058 0.9058 0.0000 1
Re1 0.5000 0.5000 0.0000 1
Rh1 0.2500 0.7500 0.5000 1
Rh2 0.7500 0.2500 0.5000 1
# **Space-group type**: I4/mmm, No. 139
# **Crystal system**: tetragonal
# **Formation enthalpy at 0 K**: 0.4645 eV/atom

# Mn2Re2Rh | Alexandria | PBE | optimized geometry
data_Mn2Re2Rh
_cell_length_a 6.9566
_cell_length_b 6.9566
_cell_length_c 2.7760
_cell_angle_alpha 90.00
_cell_angle_beta 90.00
_cell_angle_gamma 90.00
_symmetry_space_group_name_H-M 'P 1'
_symmetry_Int_Tables_number 1
_symmetry_space_group_name_Hall 'P 1'
loop_
_atom_site_label
_atom_site_fract_x
_atom_site_fract_y
_atom_site_fract_z
_atom_site_occupancy
Mn1 0.1307 0.3693 0.0000 1
Mn2 0.3693 0.8693 0.0000 1
Mn3 0.6307 0.1307 0.0000 1
Mn4 0.8693 0.6307 0.0000 1
Re1 0.1676 0.6676 0.5000 1
Re2 0.3324 0.1676 0.5000 1
Re3 0.6676 0.8324 0.5000 1
Re4 0.8324 0.3324 0.5000 1
Rh1 0.0000 0.0000 0.0000 1
Rh2 0.5000 0.5000 0.0000 1
# **Space-group type**: P4/mbm, No. 127
# **Crystal system**: tetragonal
# **Formation enthalpy at 0 K**: 0.1068 eV/atom

# Mn2Re2Rh | Alexandria | PBE | optimized geometry
data_Mn2Re2Rh
_cell_length_a 5.4380
_cell_length_b 5.4380
_cell_length_c 5.4380
_cell_angle_alpha 136.99
_cell_angle_beta 136.99
_cell_angle_gamma 62.46
_symmetry_space_group_name_H-M 'P 1'
_symmetry_Int_Tables_number 1
_symmetry_space_group_name_Hall 'P 1'
loop_
_atom_site_label
_atom_site_fract_x
_atom_site_fract_y
_atom_site_fract_z
_atom_site_occupancy
Mn1 0.1122 0.1122 0.0000 1
Mn2 0.8878 0.8878 0.0000 1
Re1 0.2500 0.7500 0.5000 1
Re2 0.7500 0.2500 0.5000 1
Rh1 0.5000 0.5000 0.0000 1
# **Space-group type**: I4/mmm, No. 139
# **Crystal system**: tetragonal
# **Formation enthalpy at 0 K**: 0.4557 eV/atom

# Mn2ReRh | Alexandria | PBE | optimized geometry
data_Mn2ReRh
_cell_length_a 4.2683
_cell_length_b 4.2683
_cell_length_c 3.0124
_cell_angle_alpha 90.00
_cell_angle_beta 90.00
_cell_angle_gamma 90.00
_symmetry_space_group_name_H-M 'P 1'
_symmetry_Int_Tables_number 1
_symmetry_space_group_name_Hall 'P 1'
loop_
_atom_site_label
_atom_site_fract_x
_atom_site_fract_y
_atom_site_fract_z
_atom_site_occupancy
Mn1 0.0000 0.5000 0.0000 1
Mn2 0.5000 0.0000 0.0000 1
Re1 0.0000 0.0000 0.5000 1
Rh1 0.5000 0.5000 0.5000 1
# **Space-group type**: P4/mmm, No. 123
# **Crystal system**: tetragonal
# **Formation enthalpy at 0 K**: 0.0028 eV/atom

# Mn2ReRh | Alexandria | PBE | optimized geometry
data_Mn2ReRh
_cell_length_a 3.7758
_cell_length_b 3.7758
_cell_length_c 3.6186
_cell_angle_alpha 90.00
_cell_angle_beta 90.00
_cell_angle_gamma 90.00
_symmetry_space_group_name_H-M 'P 1'
_symmetry_Int_Tables_number 1
_symmetry_space_group_name_Hall 'P 1'
loop_
_atom_site_label
_atom_site_fract_x
_atom_site_fract_y
_atom_site_fract_z
_atom_site_occupancy
Mn1 0.0000 0.5000 0.0000 1
Mn2 0.5000 0.0000 0.0000 1
Re1 0.0000 0.0000 0.5000 1
Rh1 0.5000 0.5000 0.5000 1
# **Space-group type**: P4/mmm, No. 123
# **Crystal system**: tetragonal
# **Formation enthalpy at 0 K**: 0.0042 eV/atom

# MnReRh | Alexandria | PBE | optimized geometry
data_MnReRh
_cell_length_a 4.6780
_cell_length_b 4.6780
_cell_length_c 4.6780
_cell_angle_alpha 146.70
_cell_angle_beta 132.28
_cell_angle_gamma 59.44
_symmetry_space_group_name_H-M 'P 1'
_symmetry_Int_Tables_number 1
_symmetry_space_group_name_Hall 'P 1'
loop_
_atom_site_label
_atom_site_fract_x
_atom_site_fract_y
_atom_site_fract_z
_atom_site_occupancy
Mn1 0.0000 0.0000 0.0000 1
Re1 0.6614 0.6614 0.0000 1
Rh1 0.3328 0.3328 0.0000 1
# **Space-group type**: Imm2, No. 44
# **Crystal system**: orthorhombic
# **Formation enthalpy at 0 K**: -0.0077 eV/atom

# MnReRh4 | Alexandria | PBE | optimized geometry
data_MnReRh4
_cell_length_a 5.0458
_cell_length_b 5.0458
_cell_length_c 5.0458
_cell_angle_alpha 60.00
_cell_angle_beta 60.00
_cell_angle_gamma 60.00
_symmetry_space_group_name_H-M 'P 1'
_symmetry_Int_Tables_number 1
_symmetry_space_group_name_Hall 'P 1'
loop_
_atom_site_label
_atom_site_fract_x
_atom_site_fract_y
_atom_site_fract_z
_atom_site_occupancy
Mn1 0.0000 0.0000 0.0000 1
Re1 0.2500 0.2500 0.2500 1
Rh1 0.1245 0.6252 0.6252 1
Rh2 0.6252 0.1245 0.6252 1
Rh3 0.6252 0.6252 0.1245 1
Rh4 0.6252 0.6252 0.6252 1
# **Space-group type**: F-43m, No. 216
# **Crystal system**: cubic
# **Formation enthalpy at 0 K**: 0.3685 eV/atom

# Mn2ReRh | Alexandria | PBE | optimized geometry
data_Mn2ReRh
_cell_length_a 2.6750
_cell_length_b 3.7408
_cell_length_c 5.3137
_cell_angle_alpha 90.00
_cell_angle_beta 90.00
_cell_angle_gamma 90.00
_symmetry_space_group_name_H-M 'P 1'
_symmetry_Int_Tables_number 1
_symmetry_space_group_name_Hall 'P 1'
loop_
_atom_site_label
_atom_site_fract_x
_atom_site_fract_y
_atom_site_fract_z
_atom_site_occupancy
Mn1 0.0000 0.0000 0.0000 1
Mn2 0.5000 0.5000 0.2285 1
Re1 0.0000 0.0000 0.4822 1
Rh1 0.5000 0.5000 0.7410 1
# **Space-group type**: Pmm2, No. 25
# **Crystal system**: orthorhombic
# **Formation enthalpy at 0 K**: -0.0191 eV/atom

# MnRe4Rh | Alexandria | PBE | optimized geometry
data_MnRe4Rh
_cell_length_a 5.1240
_cell_length_b 5.1240
_cell_length_c 5.1240
_cell_angle_alpha 60.00
_cell_angle_beta 60.00
_cell_angle_gamma 60.00
_symmetry_space_group_name_H-M 'P 1'
_symmetry_Int_Tables_number 1
_symmetry_space_group_name_Hall 'P 1'
loop_
_atom_site_label
_atom_site_fract_x
_atom_site_fract_y
_atom_site_fract_z
_atom_site_occupancy
Mn1 0.0000 0.0000 0.0000 1
Re1 0.1245 0.6252 0.6252 1
Re2 0.6252 0.1245 0.6252 1
Re3 0.6252 0.6252 0.1245 1
Re4 0.6252 0.6252 0.6252 1
Rh1 0.2500 0.2500 0.2500 1
# **Space-group type**: F-43m, No. 216
# **Crystal system**: cubic
# **Formation enthalpy at 0 K**: 0.4058 eV/atom

# Mn2ReRh | Alexandria | PBE | optimized geometry
data_Mn2ReRh
_cell_length_a 2.6724
_cell_length_b 2.6724
_cell_length_c 7.4674
_cell_angle_alpha 90.00
_cell_angle_beta 90.00
_cell_angle_gamma 90.00
_symmetry_space_group_name_H-M 'P 1'
_symmetry_Int_Tables_number 1
_symmetry_space_group_name_Hall 'P 1'
loop_
_atom_site_label
_atom_site_fract_x
_atom_site_fract_y
_atom_site_fract_z
_atom_site_occupancy
Mn1 0.0000 0.0000 0.0000 1
Mn2 0.5000 0.5000 0.2252 1
Re1 0.0000 0.0000 0.4825 1
Rh1 0.5000 0.5000 0.7426 1
# **Space-group type**: P4mm, No. 99
# **Crystal system**: tetragonal
# **Formation enthalpy at 0 K**: -0.0108 eV/atom

# MnReSb2Rh | Alexandria | PBE | optimized geometry
data_MnReSb2Rh
_cell_length_a 4.9961
_cell_length_b 4.9961
_cell_length_c 4.7788
_cell_angle_alpha 90.00
_cell_angle_beta 90.00
_cell_angle_gamma 90.00
_symmetry_space_group_name_H-M 'P 1'
_symmetry_Int_Tables_number 1
_symmetry_space_group_name_Hall 'P 1'
loop_
_atom_site_label
_atom_site_fract_x
_atom_site_fract_y
_atom_site_fract_z
_atom_site_occupancy
Mn1 0.0000 0.0000 0.0000 1
Re1 0.5000 0.5000 0.0000 1
Sb1 0.0000 0.5000 0.5000 1
Sb2 0.5000 0.0000 0.5000 1
Rh1 0.5000 0.5000 0.5000 1
# **Space-group type**: P4/mmm, No. 123
# **Crystal system**: tetragonal
# **ΔE_f (raw)**: 1.748 eV per atom

# TaMnReRh2 | Alexandria | PBE | optimized geometry
data_TaMnReRh2
_cell_length_a 4.6408
_cell_length_b 4.6408
_cell_length_c 4.8211
_cell_angle_alpha 90.00
_cell_angle_beta 90.00
_cell_angle_gamma 90.00
_symmetry_space_group_name_H-M 'P 1'
_symmetry_Int_Tables_number 1
_symmetry_space_group_name_Hall 'P 1'
loop_
_atom_site_label
_atom_site_fract_x
_atom_site_fract_y
_atom_site_fract_z
_atom_site_occupancy
Ta1 0.0000 0.0000 0.0000 1
Mn1 0.5000 0.5000 0.0000 1
Re1 0.0000 0.0000 0.5000 1
Rh1 0.0000 0.5000 0.5000 1
Rh2 0.5000 0.0000 0.5000 1
# **Space-group type**: P4/mmm, No. 123
# **Crystal system**: tetragonal
# **Formation enthalpy at 0 K**: 1.8099 eV/atom

# TaMnReRh | Alexandria | PBE | optimized geometry
data_TaMnReRh
_cell_length_a 4.4156
_cell_length_b 4.4156
_cell_length_c 4.4156
_cell_angle_alpha 60.00
_cell_angle_beta 60.00
_cell_angle_gamma 60.00
_symmetry_space_group_name_H-M 'P 1'
_symmetry_Int_Tables_number 1
_symmetry_space_group_name_Hall 'P 1'
loop_
_atom_site_label
_atom_site_fract_x
_atom_site_fract_y
_atom_site_fract_z
_atom_site_occupancy
Ta1 0.0000 0.0000 0.0000 1
Mn1 0.5000 0.5000 0.5000 1
Re1 0.7500 0.7500 0.7500 1
Rh1 0.2500 0.2500 0.2500 1
# **Space-group type**: F-43m, No. 216
# **Crystal system**: cubic
# **Formation enthalpy at 0 K**: -0.1672 eV/atom

# MnReRhW2 | Alexandria | PBE | optimized geometry
data_MnReRhW2
_cell_length_a 4.4221
_cell_length_b 4.4221
_cell_length_c 4.3675
_cell_angle_alpha 90.00
_cell_angle_beta 90.00
_cell_angle_gamma 90.00
_symmetry_space_group_name_H-M 'P 1'
_symmetry_Int_Tables_number 1
_symmetry_space_group_name_Hall 'P 1'
loop_
_atom_site_label
_atom_site_fract_x
_atom_site_fract_y
_atom_site_fract_z
_atom_site_occupancy
Mn1 0.0000 0.0000 0.0000 1
Re1 0.0000 0.0000 0.5000 1
Rh1 0.5000 0.5000 0.5000 1
W1 0.0000 0.5000 0.0000 1
W2 0.5000 0.0000 0.0000 1
# **Space-group type**: P4/mmm, No. 123
# **Crystal system**: tetragonal
# **Formation enthalpy at 0 K**: 1.3271 eV/atom

no.,ρ (g/cm3)
1,12.188
2,13.796
3,12.510
4,11.710
5,12.017
6,12.531
7,12.000
8,14.466
9,13.146
10,12.072
11,12.842
12,13.859
13,11.933
14,12.460
15,15.757
16,12.424
17,8.179
18,10.042
19,14.320
20,13.838